i | ## SrTeCN2 (PBE)

Data for a relaxed structure of SrTeCN2.

Properties
Mass density: 2.7 g/cm3
Crystal system: tetragonal

Geometry as CIF:
```
data_SrTeCN2
_symmetry_space_group_name_H-M 'P 1'
_symmetry_Int_Tables_number 1
_cell_length_a 4.802
_cell_length_b 4.802
_cell_length_c 6.896
_cell_angle_alpha 90.00
_cell_angle_beta 90.00
_cell_angle_gamma 90.00
loop_
_symmetry_equiv_pos_as_xyz
'x,y,z'
loop_
_atom_site_label
_atom_site_type_symbol
_atom_site_fract_x
_atom_site_fract_y
_atom_site_fract_z
Sr1 Sr 0.000 0.000 0.000
C1 C 0.500 0.500 0.500
Te1 Te 0.000 0.000 0.500
N1 N 0.000 0.500 0.000
N2 N 0.500 0.000 0.000
```



ii | ## SrTeCN2 (PBE)

Data for a relaxed structure of SrTeCN2.

Properties
Mass density: 5.1 g/cm3
Crystal system: tetragonal

Geometry as CIF:
```
data_SrTeCN2
_symmetry_space_group_name_H-M 'P 1'
_symmetry_Int_Tables_number 1
_cell_length_a 4.339
_cell_length_b 4.339
_cell_length_c 4.392
_cell_angle_alpha 90.00
_cell_angle_beta 90.00
_cell_angle_gamma 90.00
loop_
_symmetry_equiv_pos_as_xyz
'x,y,z'
loop_
_atom_site_label
_atom_site_type_symbol
_atom_site_fract_x
_atom_site_fract_y
_atom_site_fract_z
Sr1 Sr 0.500 0.500 0.500
C1 C 0.000 0.000 0.000
Te1 Te 0.000 0.000 0.500
N1 N 0.000 0.500 0.000
N2 N 0.500 0.000 0.000
```



What should be chosen as the least stable of them? Choose i.



i | ## Ta3CN (PBE)

Data for a relaxed structure of Ta3CN.

Properties
Mass density: 13.3 g/cm3
Crystal system: cubic

Geometry as CIF:
```
data_Ta3CN
_symmetry_space_group_name_H-M 'P 1'
_symmetry_Int_Tables_number 1
_cell_length_a 4.137
_cell_length_b 4.137
_cell_length_c 4.137
_cell_angle_alpha 90.00
_cell_angle_beta 90.00
_cell_angle_gamma 90.00
loop_
_symmetry_equiv_pos_as_xyz
'x,y,z'
loop_
_atom_site_label
_atom_site_type_symbol
_atom_site_fract_x
_atom_site_fract_y
_atom_site_fract_z
C1 C 0.500 0.500 0.500
N1 N 0.000 0.000 0.000
Ta1 Ta 0.000 0.500 0.000
Ta2 Ta 0.000 0.000 0.500
Ta3 Ta 0.500 0.000 0.000
```



ii | ## Ta3CN (PBE)

Data for a relaxed structure of Ta3CN.

Properties
Mass density: 14.6 g/cm3
Crystal system: hexagonal

Geometry as CIF:
```
data_Ta3CN
_symmetry_space_group_name_H-M 'P 1'
_symmetry_Int_Tables_number 1
_cell_length_a 5.503
_cell_length_b 5.217
_cell_length_c 5.217
_cell_angle_alpha 120.00
_cell_angle_beta 90.00
_cell_angle_gamma 90.00
loop_
_symmetry_equiv_pos_as_xyz
'x,y,z'
loop_
_atom_site_label
_atom_site_type_symbol
_atom_site_fract_x
_atom_site_fract_y
_atom_site_fract_z
Ta1 Ta 0.750 0.333 0.323
Ta2 Ta 0.750 0.990 0.667
Ta3 Ta 0.750 0.677 0.010
Ta4 Ta 0.250 0.677 0.667
Ta5 Ta 0.250 0.333 0.010
Ta6 Ta 0.250 0.990 0.323
C1 C 0.000 0.000 0.000
C2 C 0.500 0.000 0.000
N1 N 0.500 0.667 0.333
N2 N 0.000 0.667 0.333
```



What should be chosen as the least stable of them? Choose i.



i | ## TaTeCN2 (PBE)

Data for a relaxed structure of TaTeCN2.

Properties
Mass density: 9.1 g/cm3
Crystal system: tetragonal

Geometry as CIF:
```
data_TaTeCN2
_symmetry_space_group_name_H-M 'P 1'
_symmetry_Int_Tables_number 1
_cell_length_a 3.908
_cell_length_b 3.908
_cell_length_c 4.148
_cell_angle_alpha 90.00
_cell_angle_beta 90.00
_cell_angle_gamma 90.00
loop_
_symmetry_equiv_pos_as_xyz
'x,y,z'
loop_
_atom_site_label
_atom_site_type_symbol
_atom_site_fract_x
_atom_site_fract_y
_atom_site_fract_z
N1 N 0.000 0.500 0.000
N2 N 0.500 0.000 0.000
Te1 Te 0.000 0.000 0.500
C1 C 0.000 0.000 0.000
Ta1 Ta 0.500 0.500 0.500
```



ii | ## TaTeCN2 (PBE)

Data for a relaxed structure of TaTeCN2.

Properties
Mass density: 6.3 g/cm3
Crystal system: tetragonal

Geometry as CIF:
```
data_TaTeCN2
_symmetry_space_group_name_H-M 'P 1'
_symmetry_Int_Tables_number 1
_cell_length_a 3.899
_cell_length_b 3.899
_cell_length_c 6.016
_cell_angle_alpha 90.00
_cell_angle_beta 90.00
_cell_angle_gamma 90.00
loop_
_symmetry_equiv_pos_as_xyz
'x,y,z'
loop_
_atom_site_label
_atom_site_type_symbol
_atom_site_fract_x
_atom_site_fract_y
_atom_site_fract_z
N1 N 0.000 0.500 0.000
N2 N 0.500 0.000 0.000
Te1 Te 0.000 0.000 0.500
C1 C 0.500 0.500 0.500
Ta1 Ta 0.000 0.000 0.000
```



What should be chosen as the least stable of them? Choose i.



i | ## ZrTaCN (PBE)

Data for a relaxed structure of ZrTaCN.

Properties
Mass density: 10.5 g/cm3
Crystal system: trigonal

Geometry as CIF:
```
data_ZrTaCN
_symmetry_space_group_name_H-M 'P 1'
_symmetry_Int_Tables_number 1
_cell_length_a 5.606
_cell_length_b 5.606
_cell_length_c 5.606
_cell_angle_alpha 33.33
_cell_angle_beta 33.33
_cell_angle_gamma 33.33
loop_
_symmetry_equiv_pos_as_xyz
'x,y,z'
loop_
_atom_site_label
_atom_site_type_symbol
_atom_site_fract_x
_atom_site_fract_y
_atom_site_fract_z
C1 C 0.005 0.005 0.005
N1 N 0.495 0.495 0.495
Zr1 Zr 0.253 0.253 0.253
Ta1 Ta 0.747 0.747 0.747
```



ii | ## ZrTaCN (PBE)

Data for a relaxed structure of ZrTaCN.

Properties
Mass density: 10.3 g/cm3
Crystal system: trigonal

Geometry as CIF:
```
data_ZrTaCN
_symmetry_space_group_name_H-M 'P 1'
_symmetry_Int_Tables_number 1
_cell_length_a 3.163
_cell_length_b 3.163
_cell_length_c 5.846
_cell_angle_alpha 90.00
_cell_angle_beta 105.69
_cell_angle_gamma 120.01
loop_
_symmetry_equiv_pos_as_xyz
'x,y,z'
loop_
_atom_site_label
_atom_site_type_symbol
_atom_site_fract_x
_atom_site_fract_y
_atom_site_fract_z
Zr1 Zr 0.482 0.139 0.637
Ta1 Ta 0.125 0.960 0.099
C1 C 0.317 0.556 0.889
N1 N 0.954 0.375 0.345
```



What should be chosen as the least stable of them? Choose ii.